# Ca3ZnSn2

A geometry-optimized Ca3ZnSn2 structure (PBE-GGA, Alexandria).

Calculated values
Mass density in g/cm3: 4.00
Space group: Ibam (72)
Magnetic moment in μB/cell: 0.00
Formation enthalpy at 0 K in meV per atom: -471
Energy above the lowest structure with this stoichiometry in kJ/mol of formula units: 51

a = 6.717 Å, b = 6.747 Å, c = 9.103 Å
α = 111.75°, β = 111.65°, γ = 90.00°
Sites, in units of the cell vectors:
Zn 0.000 0.750 0.000
Sn 0.884 0.621 0.243
Ca 0.393 0.672 0.344
Sn 0.642 0.879 0.757
Sn 0.116 0.379 0.757
Sn 0.358 0.121 0.243
Ca 0.500 0.750 0.000
Ca 0.951 0.172 0.344
Ca 0.049 0.828 0.656
Zn 0.000 0.250 0.000
Ca 0.607 0.328 0.656
Ca 0.500 0.250 0.000